# PBE+U Ni2BiNF, optimized geometry
# DOS at the Fermi energy in states/eV per cell: 5.81
# Magnetic moment in μB per atom: 0.457
# E_tot in eV per cell: -12.410
data_Ni2BiNF
_chemical_formula_sum 'Ni2 Bi1 N1 F1'
_symmetry_space_group_name_H-M 'P 1'
_symmetry_Int_Tables_number 1
_cell_length_a 5.021
_cell_length_b 4.363
_cell_length_c 5.021
_cell_angle_alpha 90.00
_cell_angle_beta 90.00
_cell_angle_gamma 90.00
loop_
_symmetry_equiv_pos_as_xyz
'x,y,z'
loop_
_atom_site_label
_atom_site_type_symbol
_atom_site_fract_x
_atom_site_fract_y
_atom_site_fract_z
_atom_site_occupancy
Ni1 Ni 0.000 0.000 0.500 1
Ni2 Ni 0.500 0.000 0.000 1
N1 N 0.500 0.500 0.500 1
F1 F 0.000 0.500 0.000 1
Bi1 Bi 0.000 0.000 0.000 1